No. 1
# Sr2CuMo | Alexandria | GGA-PBE | relaxed
data_Sr2CuMo
_symmetry_space_group_name_H-M 'P 1'
_symmetry_Int_Tables_number 1
_symmetry_space_group_name_Hall 'P 1'
_cell_length_a 7.6892
_cell_length_b 7.6892
_cell_length_c 7.6892
_cell_angle_alpha 90.00
_cell_angle_beta 90.00
_cell_angle_gamma 90.00
loop_
_atom_site_label
_atom_site_fract_x
_atom_site_fract_y
_atom_site_fract_z
Sr1 0.2500 0.2500 0.2500
Sr2 0.2500 0.2500 0.7500
Sr3 0.2500 0.7500 0.2500
Sr4 0.2500 0.7500 0.7500
Sr5 0.7500 0.2500 0.2500
Sr6 0.7500 0.2500 0.7500
Sr7 0.7500 0.7500 0.2500
Sr8 0.7500 0.7500 0.7500
Cu1 0.0000 0.0000 0.0000
Cu2 0.0000 0.5000 0.5000
Cu3 0.5000 0.0000 0.5000
Cu4 0.5000 0.5000 0.0000
Mo1 0.0000 0.0000 0.5000
Mo2 0.0000 0.5000 0.0000
Mo3 0.5000 0.0000 0.0000
Mo4 0.5000 0.5000 0.5000
# DFT formation energy, eV/atom: 0.846
# Symmetry: Fm-3m (225)
# Total DFT energy (no corrections), eV/atom: -3.727
# Fermi-level density of states, states/eV per cell: 17.71
# ΔE to the lowest computed polymorph, meV per atom: 232.4

***

No. 2
# SmHoMg | Alexandria | GGA-PBE | relaxed
data_SmHoMg
_symmetry_space_group_name_H-M 'P 1'
_symmetry_Int_Tables_number 1
_symmetry_space_group_name_Hall 'P 1'
_cell_length_a 3.6627
_cell_length_b 3.6627
_cell_length_c 13.1877
_cell_angle_alpha 90.00
_cell_angle_beta 90.00
_cell_angle_gamma 90.00
loop_
_atom_site_label
_atom_site_fract_x
_atom_site_fract_y
_atom_site_fract_z
Sm1 0.0000 0.0000 0.0000
Sm2 0.5000 0.5000 0.5000
Ho1 0.0000 0.0000 0.6811
Ho2 0.5000 0.5000 0.1811
Mg1 0.0000 0.0000 0.3366
Mg2 0.5000 0.5000 0.8366
# DFT formation energy, eV/atom: -0.042
# Symmetry: I4mm (107)
# Total DFT energy (no corrections), eV/atom: -3.673
# Fermi-level density of states, states/eV per cell: 8.99
# ΔE to the lowest computed polymorph, meV per atom: 2.4

***

No. 3
# YTlPt2 | Alexandria | GGA-PBE | relaxed
data_YTlPt2
_symmetry_space_group_name_H-M 'P 1'
_symmetry_Int_Tables_number 1
_symmetry_space_group_name_Hall 'P 1'
_cell_length_a 6.1811
_cell_length_b 6.8154
_cell_length_c 3.8805
_cell_angle_alpha 90.00
_cell_angle_beta 90.00
_cell_angle_gamma 90.00
loop_
_atom_site_label
_atom_site_fract_x
_atom_site_fract_y
_atom_site_fract_z
Y1 0.0000 0.0000 0.0000
Y2 0.5000 0.5000 0.0000
Tl1 0.0000 0.5000 0.0000
Tl2 0.5000 0.0000 0.0000
Pt1 0.2500 0.2500 0.5000
Pt2 0.2500 0.7500 0.5000
Pt3 0.7500 0.2500 0.5000
Pt4 0.7500 0.7500 0.5000
# DFT formation energy, eV/atom: -0.629
# Symmetry: Cmmm (65)
# Total DFT energy (no corrections), eV/atom: -5.857
# Fermi-level density of states, states/eV per cell: 3.54

***

No. 4
# ZrTcRu2 | Alexandria | GGA-PBE | relaxed
data_ZrTcRu2
_symmetry_space_group_name_H-M 'P 1'
_symmetry_Int_Tables_number 1
_symmetry_space_group_name_Hall 'P 1'
_cell_length_a 2.9027
_cell_length_b 2.9027
_cell_length_c 7.6007
_cell_angle_alpha 90.00
_cell_angle_beta 90.00
_cell_angle_gamma 90.00
loop_
_atom_site_label
_atom_site_fract_x
_atom_site_fract_y
_atom_site_fract_z
Zr1 0.0000 0.0000 0.0000
Tc1 0.0000 0.0000 0.5000
Ru1 0.5000 0.5000 0.2784
Ru2 0.5000 0.5000 0.7216
# DFT formation energy, eV/atom: -0.049
# Symmetry: P4/mmm (123)
# Total DFT energy (no corrections), eV/atom: -9.416
# Fermi-level density of states, states/eV per cell: 4.37
# ΔE to the lowest computed polymorph, meV per atom: 10.3

***

- Among the records above, which one has the lowest Fermi-level density of states?
  YTlPt2

***

- Which value of Fermi-level density of states does entry 2 give?
  8.99 states/eV per cell